A relaxed PmPuZn crystal. Source: OQMD, functional PBE.

Output
Crystal system = cubic
Formation energy = 195 meV per atom

Structure (POSCAR):
```
PmPuZn
1.0
0.000 3.478 3.478
3.478 0.000 3.478
3.478 3.478 0.000
Pu Pm Zn
1 1 1
direct
0.750 0.750 0.750 Pu
0.250 0.250 0.250 Pm
0.000 0.000 0.000 Zn
```

---

A relaxed PrGaSiPt2 crystal. Source: OQMD, functional PBE.

Output
Crystal system = tetragonal

Structure (POSCAR):
```
PrGaSiPt2
1.0
-2.061 3.780 -0.218
-2.330 -1.462 -3.320
-7.038 -3.466 6.464
Pt Ga Pr Si
4 2 2 2
direct
0.000 0.500 0.387 Pt
0.500 0.000 0.613 Pt
0.000 0.000 0.000 Pt
0.500 0.500 0.000 Pt
0.000 0.500 0.137 Ga
0.500 0.000 0.863 Ga
0.500 0.000 0.261 Pr
0.000 0.500 0.739 Pr
0.500 0.500 0.500 Si
0.000 0.000 0.500 Si
```

---

So what do the calculations give for energy above the lowest structure with this stoichiometry? Going down the list: 0; 39 meV/atom.
So what do the calculations give for M_tot? Going down the list: 6.39; 0.00 μB/f.u..